A plane-wave DFT calculation with PBE-GGA was carried out for a geometry-optimized Ce3Ir2Rh structure.

Results
Its energy relative to the elements is -0.6211 eV per atom. As for the electronic total energy: -7.77 eV per atom.

Cell lengths 6.697, 6.697, 6.703 Å; angles 90.07, 90.07, 66.10 degrees
Positions (direct):
Ce (0.154, 0.846, 0.750)
Ce (0.287, 0.287, 0.000)
Ce (0.287, 0.287, 0.500)
Ce (0.713, 0.713, 0.000)
Ce (0.713, 0.713, 0.500)
Ce (0.846, 0.154, 0.250)
Ir (0.056, 0.696, 0.250)
Ir (0.304, 0.944, 0.250)
Ir (0.696, 0.056, 0.750)
Ir (0.944, 0.304, 0.750)
Rh (0.492, 0.508, 0.750)
Rh (0.508, 0.492, 0.250)

=====

A plane-wave DFT calculation with PBE-GGA was carried out for a geometry-optimized BaMg2TlCd4 structure.

Results
Its energy relative to the elements is -0.1200 eV per atom. As for the electronic total energy: -1.51 eV per atom.

Cell lengths 11.067, 11.067, 11.067 Å; angles 25.92, 25.92, 25.92 degrees
Positions (direct):
Ba (0.000, 0.000, 0.000)
Mg (0.240, 0.240, 0.240)
Mg (0.760, 0.760, 0.760)
Tl (0.500, 0.500, 0.500)
Cd (0.122, 0.122, 0.122)
Cd (0.401, 0.401, 0.401)
Cd (0.599, 0.599, 0.599)
Cd (0.878, 0.878, 0.878)

=====

A plane-wave DFT calculation with PBE-GGA was carried out for a geometry-optimized WCl structure.

Results
As for the energy above the most stable polymorph in this dataset: 2391 meV per atom. As for the electronic total energy: -5.25 eV per atom.

Cell lengths 5.058, 5.058, 5.058 Å; angles 90.00, 90.00, 90.00 degrees
Positions (direct):
W (0.000, 0.000, 0.000)
W (0.000, 0.500, 0.500)
W (0.500, 0.000, 0.500)
W (0.500, 0.500, 0.000)
Cl (0.000, 0.000, 0.500)
Cl (0.000, 0.500, 0.000)
Cl (0.500, 0.000, 0.000)
Cl (0.500, 0.500, 0.500)

=====

A plane-wave DFT calculation with PBE-GGA was carried out for a geometry-optimized LaTb7Cd2 structure.

Results
Its energy relative to the elements is 0.4050 eV per atom. As for the electronic total energy: -3.51 eV per atom.

Cell lengths 8.890, 8.890, 5.486 Å; angles 90.00, 90.00, 118.66 degrees
Positions (direct):
La (0.000, 0.000, 0.000)
Tb (0.060, 0.303, 0.500)
Tb (0.239, 0.761, 0.000)
Tb (0.303, 0.060, 0.500)
Tb (0.500, 0.500, 0.500)
Tb (0.697, 0.940, 0.500)
Tb (0.761, 0.239, 0.000)
Tb (0.940, 0.697, 0.500)
Cd (0.303, 0.697, 0.500)
Cd (0.697, 0.303, 0.500)

=====

A plane-wave DFT calculation with PBE-GGA was carried out for a geometry-optimized RbBa2Te2Se6 structure.

Results
As for the electronic total energy: -3.77 eV per atom.

Cell lengths 6.623, 8.340, 9.644 Å; angles 98.83, 101.53, 108.48 degrees
Positions (direct):
Rb (0.000, 0.000, 0.000)
Ba (0.270, 0.626, 0.323)
Ba (0.730, 0.374, 0.677)
Te (0.412, 0.736, 0.790)
Te (0.588, 0.264, 0.210)
Se (0.123, 0.633, 0.962)
Se (0.247, 0.436, 0.614)
Se (0.405, 0.946, 0.603)
Se (0.595, 0.054, 0.397)
Se (0.753, 0.564, 0.386)
Se (0.877, 0.367, 0.038)

=====

A plane-wave DFT calculation with PBE-GGA was carried out for a geometry-optimized LaTh3Hg4 structure.

Results
Its energy relative to the elements is -0.2686 eV per atom. As for the electronic total energy: -3.82 eV per atom.

Cell lengths 3.850, 3.850, 15.360 Å; angles 90.00, 90.00, 90.00 degrees
Positions (direct):
La (0.000, 0.000, 0.000)
Th (0.000, 0.000, 0.254)
Th (0.000, 0.000, 0.500)
Th (0.000, 0.000, 0.746)
Hg (0.500, 0.500, 0.129)
Hg (0.500, 0.500, 0.377)
Hg (0.500, 0.500, 0.623)
Hg (0.500, 0.500, 0.871)

=====

A plane-wave DFT calculation with PBE-GGA was carried out for a geometry-optimized Zr2AlHIr structure.

Results
As for the electronic total energy: -7.12 eV per atom.

Cell lengths 4.371, 4.371, 3.973 Å; angles 90.00, 90.00, 90.00 degrees
Positions (direct):
Zr (0.000, 0.500, 0.000)
Zr (0.500, 0.000, 0.000)
Al (0.000, 0.000, 0.500)
H (0.500, 0.500, 0.000)
Ir (0.500, 0.500, 0.500)

=====

A plane-wave DFT calculation with PBE-GGA was carried out for a geometry-optimized La7Cd2Ni2 structure.

Results
As for the energy above the most stable polymorph in this dataset: 16 meV per atom. Its energy relative to the elements is -0.1587 eV per atom. As for the electronic total energy: -4.51 eV per atom.

Cell lengths 7.131, 7.131, 7.315 Å; angles 90.00, 90.00, 110.42 degrees
Positions (direct):
La (0.000, 0.000, 0.000)
La (0.000, 0.500, 0.251)
La (0.000, 0.500, 0.749)
La (0.500, 0.000, 0.251)
La (0.500, 0.000, 0.749)
La (0.500, 0.500, 0.227)
La (0.500, 0.500, 0.773)
Cd (0.171, 0.171, 0.500)
Cd (0.829, 0.829, 0.500)
Ni (0.289, 0.711, 0.000)
Ni (0.711, 0.289, 0.000)